# NdDyAlIn GGA-PBE optimized geometry
# Energy relative to the elements ... -408.4 meV per atom
# Energy above the lowest structure with this stoichiometry ... 16 meV/atom
data_NdDyAlIn
_chemical_formula_sum 'Nd4 Dy4 Al4 In4'
_cell_length_a 7.4936
_cell_length_b 7.4936
_cell_length_c 7.4936
_cell_angle_alpha 90.00
_cell_angle_beta 90.00
_cell_angle_gamma 90.00
_symmetry_space_group_name_H-M 'F -4 3 m'
_symmetry_Int_Tables_number 216
_symmetry_space_group_name_Hall 'F -4 2 3'
loop_
_atom_site_label
_atom_site_type_symbol
_atom_site_fract_x
_atom_site_fract_y
_atom_site_fract_z
Nd1 Nd 0.0000 0.0000 0.0000
Dy1 Dy 0.0000 0.0000 0.5000
Al1 Al 0.2500 0.2500 0.2500
In1 In 0.2500 0.2500 0.7500

=====

# Be2MoSe GGA-PBE optimized geometry
# E_form (uncorrected) ... 440 meV per atom
data_Be2MoSe
_chemical_formula_sum 'Be6 Mo3 Se3'
_cell_length_a 2.9573
_cell_length_b 2.9573
_cell_length_c 21.7079
_cell_angle_alpha 90.00
_cell_angle_beta 90.00
_cell_angle_gamma 120.00
_symmetry_space_group_name_H-M 'R -3 m'
_symmetry_Int_Tables_number 166
_symmetry_space_group_name_Hall '-R 3 2"'
loop_
_atom_site_label
_atom_site_type_symbol
_atom_site_fract_x
_atom_site_fract_y
_atom_site_fract_z
Be1 Be 0.0000 0.0000 0.2440
Mo1 Mo 0.0000 0.0000 0.0000
Se1 Se 0.0000 0.0000 0.5000

=====

# MgV2Cu2 GGA-PBE optimized geometry
# Energy relative to the elements ... 290.4 meV per atom
data_MgV2Cu2
_chemical_formula_sum 'Mg2 V4 Cu4'
_cell_length_a 3.5381
_cell_length_b 3.5381
_cell_length_c 12.0277
_cell_angle_alpha 90.00
_cell_angle_beta 90.00
_cell_angle_gamma 90.00
_symmetry_space_group_name_H-M 'I 4/m m m'
_symmetry_Int_Tables_number 139
_symmetry_space_group_name_Hall '-I 4 2'
loop_
_atom_site_label
_atom_site_type_symbol
_atom_site_fract_x
_atom_site_fract_y
_atom_site_fract_z
Mg1 Mg 0.0000 0.0000 0.0000
V1 V 0.0000 0.5000 0.2500
Cu1 Cu 0.0000 0.0000 0.4030

=====

# CeScGeAu GGA-PBE optimized geometry
# Energy relative to the elements ... -630.9 meV per atom
data_CeScGeAu
_chemical_formula_sum 'Ce4 Sc4 Ge4 Au4'
_cell_length_a 7.1031
_cell_length_b 7.1031
_cell_length_c 7.1031
_cell_angle_alpha 90.00
_cell_angle_beta 90.00
_cell_angle_gamma 90.00
_symmetry_space_group_name_H-M 'F -4 3 m'
_symmetry_Int_Tables_number 216
_symmetry_space_group_name_Hall 'F -4 2 3'
loop_
_atom_site_label
_atom_site_type_symbol
_atom_site_fract_x
_atom_site_fract_y
_atom_site_fract_z
Ce1 Ce 0.0000 0.0000 0.0000
Sc1 Sc 0.0000 0.0000 0.5000
Ge1 Ge 0.2500 0.2500 0.2500
Au1 Au 0.2500 0.2500 0.7500

=====

# CaTbSb GGA-PBE optimized geometry
# E_form (uncorrected) ... -798 meV per atom
data_CaTbSb
_chemical_formula_sum 'Ca2 Tb2 Sb2'
_cell_length_a 4.6125
_cell_length_b 4.6125
_cell_length_c 8.5590
_cell_angle_alpha 90.00
_cell_angle_beta 90.00
_cell_angle_gamma 90.00
_symmetry_space_group_name_H-M 'P 4/n m m'
_symmetry_Int_Tables_number 129
loop_
_symmetry_equiv_pos_as_xyz
'x,y,z'
'-x,-y,-z'
'-y+1/2,x,z'
'y+1/2,-x,-z'
'-x+1/2,-y+1/2,z'
'x+1/2,y+1/2,-z'
'y,-x+1/2,z'
'-y,x+1/2,-z'
'x+1/2,-y,-z'
'-x+1/2,y,z'
'-y,-x,-z'
'y,x,z'
'-x,y+1/2,-z'
'x,-y+1/2,z'
'y+1/2,x+1/2,-z'
'-y+1/2,-x+1/2,z'
loop_
_atom_site_label
_atom_site_type_symbol
_atom_site_fract_x
_atom_site_fract_y
_atom_site_fract_z
Ca1 Ca 0.2500 0.2500 0.1506
Tb1 Tb 0.2500 0.7500 0.5000
Sb1 Sb 0.2500 0.2500 0.7707

=====

# InRe3F GGA-PBE optimized geometry
# E_form (uncorrected) ... 3184 meV per atom
# Energy above the lowest structure with this stoichiometry ... 1772 meV/atom
data_InRe3F
_chemical_formula_sum 'In1 Re3 F1'
_cell_length_a 5.1729
_cell_length_b 5.1729
_cell_length_c 5.1729
_cell_angle_alpha 90.00
_cell_angle_beta 90.00
_cell_angle_gamma 90.00
_symmetry_space_group_name_H-M 'P m -3 m'
_symmetry_Int_Tables_number 221
_symmetry_space_group_name_Hall '-P 4 2 3'
loop_
_atom_site_label
_atom_site_type_symbol
_atom_site_fract_x
_atom_site_fract_y
_atom_site_fract_z
In1 In 0.0000 0.0000 0.0000
Re1 Re 0.0000 0.0000 0.5000
F1 F 0.5000 0.5000 0.5000

=====

# CaCuRe2 GGA-PBE optimized geometry
# Energy relative to the elements ... 690.1 meV per atom
# Energy above the lowest structure with this stoichiometry ... 407 meV/atom
data_CaCuRe2
_chemical_formula_sum 'Ca1 Cu1 Re2'
_cell_length_a 3.2549
_cell_length_b 3.2549
_cell_length_c 6.8378
_cell_angle_alpha 90.00
_cell_angle_beta 90.00
_cell_angle_gamma 90.00
_symmetry_space_group_name_H-M 'P 4/m m m'
_symmetry_Int_Tables_number 123
_symmetry_space_group_name_Hall '-P 4 2'
loop_
_atom_site_label
_atom_site_type_symbol
_atom_site_fract_x
_atom_site_fract_y
_atom_site_fract_z
Ca1 Ca 0.0000 0.0000 0.0000
Cu1 Cu 0.0000 0.0000 0.5000
Re1 Re 0.5000 0.5000 0.3291

=====

# CsBa2TePt GGA-PBE optimized geometry
# E_form (uncorrected) ... -274 meV per atom
data_CsBa2TePt
_chemical_formula_sum 'Cs1 Ba2 Te1 Pt1'
_cell_length_a 6.6661
_cell_length_b 6.6661
_cell_length_c 5.4034
_cell_angle_alpha 90.00
_cell_angle_beta 90.00
_cell_angle_gamma 90.00
_symmetry_space_group_name_H-M 'P 4/m m m'
_symmetry_Int_Tables_number 123
_symmetry_space_group_name_Hall '-P 4 2'
loop_
_atom_site_label
_atom_site_type_symbol
_atom_site_fract_x
_atom_site_fract_y
_atom_site_fract_z
Cs1 Cs 0.0000 0.0000 0.0000
Ba1 Ba 0.0000 0.5000 0.5000
Te1 Te 0.5000 0.5000 0.5000
Pt1 Pt 0.5000 0.5000 0.0000

=====

# FeTc2Sb2 GGA-PBE optimized geometry
# E_form (uncorrected) ... 333 meV per atom
# Energy above the lowest structure with this stoichiometry ... 0 meV/atom
data_FeTc2Sb2
_chemical_formula_sum 'Fe2 Tc4 Sb4'
_cell_length_a 6.7288
_cell_length_b 6.7288
_cell_length_c 3.9432
_cell_angle_alpha 90.00
_cell_angle_beta 90.00
_cell_angle_gamma 90.00
_symmetry_space_group_name_H-M 'P 4/m b m'
_symmetry_Int_Tables_number 127
_symmetry_space_group_name_Hall '-P 4 2ab'
loop_
_atom_site_label
_atom_site_type_symbol
_atom_site_fract_x
_atom_site_fract_y
_atom_site_fract_z
Fe1 Fe 0.0000 0.0000 0.0000
Tc1 Tc 0.1351 0.3649 0.0000
Sb1 Sb 0.1685 0.6685 0.5000

=====

# MnCr2W GGA-PBE optimized geometry
# Energy relative to the elements ... 127.3 meV per atom
# Energy above the lowest structure with this stoichiometry ... 47 meV/atom
data_MnCr2W
_chemical_formula_sum 'Mn2 Cr4 W2'
_cell_length_a 5.0543
_cell_length_b 8.3157
_cell_length_c 2.5916
_cell_angle_alpha 90.00
_cell_angle_beta 109.81
_cell_angle_gamma 90.00
_symmetry_space_group_name_H-M 'C 1 2/m 1'
_symmetry_Int_Tables_number 12
_symmetry_space_group_name_Hall '-C 2y'
loop_
_atom_site_label
_atom_site_type_symbol
_atom_site_fract_x
_atom_site_fract_y
_atom_site_fract_z
Mn1 Mn 0.0000 0.0000 0.0000
Cr1 Cr 0.2500 0.2500 0.5000
W1 W 0.0000 0.5000 0.0000

=====

# KCo2Ru GGA-PBE optimized geometry
# Energy relative to the elements ... 1289.7 meV per atom
# Energy above the lowest structure with this stoichiometry ... 600 meV/atom
data_KCo2Ru
_chemical_formula_sum 'K4 Co8 Ru4'
_cell_length_a 6.3399
_cell_length_b 6.3399
_cell_length_c 6.3399
_cell_angle_alpha 90.00
_cell_angle_beta 90.00
_cell_angle_gamma 90.00
_symmetry_space_group_name_H-M 'F m -3 m'
_symmetry_Int_Tables_number 225
_symmetry_space_group_name_Hall '-F 4 2 3'
loop_
_atom_site_label
_atom_site_type_symbol
_atom_site_fract_x
_atom_site_fract_y
_atom_site_fract_z
K1 K 0.0000 0.0000 0.0000
Co1 Co 0.2500 0.2500 0.2500
Ru1 Ru 0.0000 0.0000 0.5000

=====

# NbFe3 GGA-PBE optimized geometry
# Energy relative to the elements ... -49.9 meV per atom
data_NbFe3
_chemical_formula_sum 'Nb4 Fe12'
_cell_length_a 5.9150
_cell_length_b 5.9150
_cell_length_c 5.9150
_cell_angle_alpha 90.00
_cell_angle_beta 90.00
_cell_angle_gamma 90.00
_symmetry_space_group_name_H-M 'F m -3 m'
_symmetry_Int_Tables_number 225
_symmetry_space_group_name_Hall '-F 4 2 3'
loop_
_atom_site_label
_atom_site_type_symbol
_atom_site_fract_x
_atom_site_fract_y
_atom_site_fract_z
Nb1 Nb 0.0000 0.0000 0.0000
Fe1 Fe 0.0000 0.0000 0.5000
Fe2 Fe 0.2500 0.2500 0.2500

=====

# ReNiP2 GGA-PBE optimized geometry
# Energy relative to the elements ... 299.9 meV per atom
# Energy above the lowest structure with this stoichiometry ... 558 meV/atom
data_ReNiP2
_chemical_formula_sum 'Re1 Ni1 P2'
_cell_length_a 3.0162
_cell_length_b 3.7450
_cell_length_c 4.6930
_cell_angle_alpha 90.00
_cell_angle_beta 90.00
_cell_angle_gamma 90.00
_symmetry_space_group_name_H-M 'P m m m'
_symmetry_Int_Tables_number 47
_symmetry_space_group_name_Hall '-P 2 2'
loop_
_atom_site_label
_atom_site_type_symbol
_atom_site_fract_x
_atom_site_fract_y
_atom_site_fract_z
Re1 Re 0.0000 0.0000 0.0000
Ni1 Ni 0.5000 0.0000 0.5000
P1 P 0.0000 0.5000 0.5000
P2 P 0.5000 0.5000 0.0000

=====

# Tb2PmTm5 GGA-PBE optimized geometry
# Energy relative to the elements ... 22.7 meV per atom
# Energy above the lowest structure with this stoichiometry ... 0 meV/atom
data_Tb2PmTm5
_chemical_formula_sum 'Tb4 Pm2 Tm10'
_cell_length_a 7.0573
_cell_length_b 7.0573
_cell_length_c 9.9206
_cell_angle_alpha 90.00
_cell_angle_beta 90.00
_cell_angle_gamma 90.00
_symmetry_space_group_name_H-M 'I 4/m m m'
_symmetry_Int_Tables_number 139
_symmetry_space_group_name_Hall '-I 4 2'
loop_
_atom_site_label
_atom_site_type_symbol
_atom_site_fract_x
_atom_site_fract_y
_atom_site_fract_z
Tb1 Tb 0.0000 0.5000 0.0000
Pm1 Pm 0.0000 0.0000 0.0000
Tm1 Tm 0.0000 0.0000 0.5000
Tm2 Tm 0.2500 0.2500 0.2500

=====

# K2Li3NbF12 GGA-PBE optimized geometry
# E_form (uncorrected) ... -2557 meV per atom
data_K2Li3NbF12
_chemical_formula_sum 'K6 Li9 Nb3 F36'
_cell_length_a 7.0118
_cell_length_b 7.0118
_cell_length_c 20.4080
_cell_angle_alpha 90.00
_cell_angle_beta 90.00
_cell_angle_gamma 120.00
_symmetry_space_group_name_H-M 'R -3 m'
_symmetry_Int_Tables_number 166
_symmetry_space_group_name_Hall '-R 3 2"'
loop_
_atom_site_label
_atom_site_type_symbol
_atom_site_fract_x
_atom_site_fract_y
_atom_site_fract_z
K1 K 0.0000 0.0000 0.0861
Li1 Li 0.0000 0.5000 0.0000
Nb1 Nb 0.0000 0.0000 0.5000
F1 F 0.0613 0.5306 0.3561
F2 F 0.0707 0.5354 0.1128

=====

# ScCuW2 GGA-PBE optimized geometry
# Energy relative to the elements ... 251.0 meV per atom
# Energy above the lowest structure with this stoichiometry ... 94 meV/atom
data_ScCuW2
_chemical_formula_sum 'Sc2 Cu2 W4'
_cell_length_a 10.5382
_cell_length_b 3.0960
_cell_length_c 4.4657
_cell_angle_alpha 90.00
_cell_angle_beta 114.83
_cell_angle_gamma 90.00
_symmetry_space_group_name_H-M 'C 1 2/m 1'
_symmetry_Int_Tables_number 12
_symmetry_space_group_name_Hall '-C 2y'
loop_
_atom_site_label
_atom_site_type_symbol
_atom_site_fract_x
_atom_site_fract_y
_atom_site_fract_z
Sc1 Sc 0.0000 0.0000 0.0000
Cu1 Cu 0.0000 0.5000 0.5000
W1 W 0.2361 0.0000 0.7360

=====

# ZnCuTe2 GGA-PBE optimized geometry
# E_form (uncorrected) ... 131 meV per atom
# Energy above the lowest structure with this stoichiometry ... 355 meV/atom
data_ZnCuTe2
_chemical_formula_sum 'Zn4 Cu4 Te8'
_cell_length_a 8.5714
_cell_length_b 8.5714
_cell_length_c 5.2904
_cell_angle_alpha 90.00
_cell_angle_beta 90.00
_cell_angle_gamma 90.00
_symmetry_space_group_name_H-M 'I 4/m c m'
_symmetry_Int_Tables_number 140
_symmetry_space_group_name_Hall '-I 4 2c'
loop_
_atom_site_label
_atom_site_type_symbol
_atom_site_fract_x
_atom_site_fract_y
_atom_site_fract_z
Zn1 Zn 0.0000 0.0000 0.2500
Cu1 Cu 0.0000 0.5000 0.2500
Te1 Te 0.1836 0.3164 0.0000

=====

# La5Sm4Mg2 GGA-PBE optimized geometry
# Energy relative to the elements ... 48.8 meV per atom
data_La5Sm4Mg2
_chemical_formula_sum 'La10 Sm8 Mg4'
_cell_length_a 22.9716
_cell_length_b 3.5924
_cell_length_c 9.0089
_cell_angle_alpha 90.00
_cell_angle_beta 92.91
_cell_angle_gamma 90.00
_symmetry_space_group_name_H-M 'C 1 2/m 1'
_symmetry_Int_Tables_number 12
_symmetry_space_group_name_Hall '-C 2y'
loop_
_atom_site_label
_atom_site_type_symbol
_atom_site_fract_x
_atom_site_fract_y
_atom_site_fract_z
La1 La 0.0000 0.0000 0.0000
La2 La 0.1318 0.5000 0.0996
La3 La 0.1833 0.5000 0.4684
Sm1 Sm 0.0729 0.5000 0.7146
Sm2 Sm 0.2105 0.0000 0.8195
Mg1 Mg 0.0526 0.0000 0.3791

=====

# Sr2AlB2Ir5 GGA-PBE optimized geometry
# Energy relative to the elements ... -337.6 meV per atom
data_Sr2AlB2Ir5
_chemical_formula_sum 'Sr4 Al2 B4 Ir10'
_cell_length_a 10.0211
_cell_length_b 10.0211
_cell_length_c 3.0177
_cell_angle_alpha 90.00
_cell_angle_beta 90.00
_cell_angle_gamma 90.00
_symmetry_space_group_name_H-M 'P 4/m b m'
_symmetry_Int_Tables_number 127
_symmetry_space_group_name_Hall '-P 4 2ab'
loop_
_atom_site_label
_atom_site_type_symbol
_atom_site_fract_x
_atom_site_fract_y
_atom_site_fract_z
Sr1 Sr 0.1792 0.3208 0.0000
Al1 Al 0.0000 0.0000 0.0000
B1 B 0.1213 0.6213 0.0000
Ir1 Ir 0.0000 0.5000 0.5000
Ir2 Ir 0.0658 0.7781 0.5000

=====

# Pr8RuRh2 GGA-PBE optimized geometry
# Energy relative to the elements ... -221.6 meV per atom
# Energy above the lowest structure with this stoichiometry ... 50 meV/atom
data_Pr8RuRh2
_chemical_formula_sum 'Pr16 Ru2 Rh4'
_cell_length_a 13.2392
_cell_length_b 7.2249
_cell_length_c 7.4689
_cell_angle_alpha 90.00
_cell_angle_beta 90.22
_cell_angle_gamma 90.00
_symmetry_space_group_name_H-M 'C 1 2/m 1'
_symmetry_Int_Tables_number 12
_symmetry_space_group_name_Hall '-C 2y'
loop_
_atom_site_label
_atom_site_type_symbol
_atom_site_fract_x
_atom_site_fract_y
_atom_site_fract_z
Pr1 Pr 0.0431 0.2467 0.2638
Pr2 Pr 0.2061 0.0000 0.6041
Pr3 Pr 0.2070 0.5000 0.8925
Ru1 Ru 0.0000 0.5000 0.0000
Rh1 Rh 0.1096 0.5000 0.5619